{"formula": "SrTmTe3Au", "functional": "PBE", "state": "optimized geometry", "lattice_angstrom": [[9.9397, -2.1634, 0.0000], [9.9397, 2.1634, 0.0000], [-1.6093, 0.0000, 8.6621]], "species": ["Sr", "Sr", "Tm", "Tm", "Te", "Te", "Te", "Te", "Te", "Te", "Au", "Au"], "frac_coords": [[0.1239, 0.1239, 0.0766], [0.8761, 0.8761, 0.9234], [0.1611, 0.1611, 0.5910], [0.8389, 0.8389, 0.4090], [0.0000, 0.0000, 0.5000], [0.3116, 0.3116, 0.1570], [0.3217, 0.3217, 0.6394], [0.5000, 0.5000, 0.0000], [0.6783, 0.6783, 0.3606], [0.6884, 0.6884, 0.8430], [0.4481, 0.4481, 0.2889], [0.5519, 0.5519, 0.7111]], "space_group": "C2/m"}

=====

{"formula": "Li5InHg6", "functional": "PBE", "state": "optimized geometry", "lattice_angstrom": [[2.3789, -7.1440, 0.0000], [2.3789, 7.1440, 0.0000], [0.0000, 0.0000, 6.8936]], "species": ["Li", "Li", "Li", "Li", "Li", "In", "Hg", "Hg", "Hg", "Hg", "Hg", "Hg"], "frac_coords": [[0.0000, 0.0000, 0.0000], [0.3332, 0.6668, 0.0000], [0.3401, 0.6599, 0.5000], [0.6599, 0.3401, 0.5000], [0.6668, 0.3332, 0.0000], [0.0000, 0.0000, 0.5000], [0.1765, 0.8235, 0.2429], [0.1765, 0.8235, 0.7571], [0.5000, 0.5000, 0.2255], [0.5000, 0.5000, 0.7745], [0.8235, 0.1765, 0.2429], [0.8235, 0.1765, 0.7571]], "space_group": "Cmmm"}

=====

{"formula": "Pr3AlInNi4", "functional": "PBE", "state": "optimized geometry", "lattice_angstrom": [[5.1299, -2.1030, 0.0000], [5.1299, 2.1030, 0.0000], [-1.1612, 0.0000, 8.4722]], "species": ["Pr", "Pr", "Pr", "Al", "In", "Ni", "Ni", "Ni", "Ni"], "frac_coords": [[0.0000, 0.0000, 0.0000], [0.3691, 0.3691, 0.6154], [0.6212, 0.6212, 0.3751], [0.3223, 0.3223, 0.2167], [0.6732, 0.6732, 0.7814], [0.0681, 0.0681, 0.6098], [0.2755, 0.2755, 0.9332], [0.7406, 0.7406, 0.0923], [0.9103, 0.9103, 0.3557]], "space_group": "Cm"}

=====

{"formula": "SmZr2N3", "functional": "PBE", "state": "optimized geometry", "lattice_angstrom": [[3.3259, 0.0000, 0.0000], [-1.6629, 2.8803, 0.0000], [0.0000, 0.0000, 8.2882]], "species": ["Sm", "Zr", "Zr", "N", "N", "N"], "frac_coords": [[0.0000, 0.0000, 0.0000], [0.3333, 0.6667, 0.3394], [0.6667, 0.3333, 0.6606], [0.0000, 0.0000, 0.5000], [0.3333, 0.6667, 0.8087], [0.6667, 0.3333, 0.1913]], "space_group": "P-3m1"}

=====

{"formula": "LiSmBi", "functional": "PBE", "state": "optimized geometry", "lattice_angstrom": [[0.0000, 3.6294, 3.6294], [3.6294, 0.0000, 3.6294], [3.6294, 3.6294, 0.0000]], "species": ["Li", "Sm", "Bi"], "frac_coords": [[0.0000, 0.0000, 0.0000], [0.7500, 0.7500, 0.7500], [0.5000, 0.5000, 0.5000]], "space_group": "F-43m", "de_polymorph_ev_per_fu": 0.78}

=====

{"formula": "ErZrTeC", "functional": "PBE", "state": "optimized geometry", "lattice_angstrom": [[3.6318, 0.0000, 0.0000], [-1.8159, 3.1452, 0.0000], [0.0000, 0.0000, 13.7798]], "species": ["Er", "Er", "Zr", "Zr", "Te", "Te", "C", "C"], "frac_coords": [[0.0000, 0.0000, 0.1633], [0.0000, 0.0000, 0.8367], [0.6667, 0.3333, 0.3448], [0.6667, 0.3333, 0.6552], [0.0000, 0.0000, 0.5000], [0.6667, 0.3333, 0.0000], [0.3333, 0.6667, 0.2626], [0.3333, 0.6667, 0.7374]], "space_group": "P-6m2", "de_polymorph_ev_per_fu": 0.06}

=====

{"formula": "CsHfZnSe3", "functional": "PBE", "state": "optimized geometry", "lattice_angstrom": [[9.5480, 0.0000, 0.0000], [0.0000, 3.9383, 0.0000], [-4.2578, 0.0000, 9.2645]], "species": ["Cs", "Cs", "Hf", "Hf", "Zn", "Zn", "Se", "Se", "Se", "Se", "Se", "Se"], "frac_coords": [[0.2115, 0.2500, 0.2475], [0.7885, 0.7500, 0.7525], [0.3546, 0.7500, 0.8773], [0.6454, 0.2500, 0.1227], [0.0826, 0.2500, 0.6089], [0.9174, 0.7500, 0.3911], [0.1432, 0.2500, 0.8652], [0.2135, 0.7500, 0.5591], [0.4738, 0.7500, 0.1629], [0.5262, 0.2500, 0.8371], [0.7865, 0.2500, 0.4409], [0.8568, 0.7500, 0.1348]], "space_group": "P2_1/m"}

=====

{"formula": "ScZnCo2", "functional": "PBE", "state": "optimized geometry", "lattice_angstrom": [[0.0000, 3.0325, 3.0325], [3.0325, 0.0000, 3.0325], [3.0325, 3.0325, 0.0000]], "species": ["Sc", "Zn", "Co", "Co"], "frac_coords": [[0.0000, 0.0000, 0.0000], [0.2500, 0.2500, 0.2500], [0.5000, 0.5000, 0.5000], [0.7500, 0.7500, 0.7500]], "space_group": "F-43m", "formation_energy_ev_per_fu": -0.2}

=====

{"formula": "TaAg2As", "functional": "PBE", "state": "optimized geometry", "lattice_angstrom": [[0.0000, 3.2613, 3.2613], [3.2613, 0.0000, 3.2613], [3.2613, 3.2613, 0.0000]], "species": ["Ta", "Ag", "Ag", "As"], "frac_coords": [[0.0000, 0.0000, 0.0000], [0.2500, 0.2500, 0.2500], [0.5000, 0.5000, 0.5000], [0.7500, 0.7500, 0.7500]], "space_group": "F-43m"}

=====

{"formula": "ZrBeReAs", "functional": "PBE", "state": "optimized geometry", "lattice_angstrom": [[0.0000, 3.1088, 3.1088], [3.1088, 0.0000, 3.1088], [3.1088, 3.1088, 0.0000]], "species": ["Zr", "Be", "Re", "As"], "frac_coords": [[0.0000, 0.0000, 0.0000], [0.2500, 0.2500, 0.2500], [0.5000, 0.5000, 0.5000], [0.7500, 0.7500, 0.7500]], "space_group": "F-43m", "de_polymorph_ev_per_fu": 0.00}

=====

{"formula": "Dy2AlFeC", "functional": "PBE", "state": "optimized geometry", "lattice_angstrom": [[4.9820, 0.0000, 0.0000], [0.0000, 4.9820, 0.0000], [0.0000, 0.0000, 3.6883]], "species": ["Dy", "Dy", "Al", "Fe", "C"], "frac_coords": [[0.0000, 0.5000, 0.0000], [0.5000, 0.0000, 0.0000], [0.0000, 0.0000, 0.5000], [0.5000, 0.5000, 0.5000], [0.5000, 0.5000, 0.0000]], "space_group": "P4/mmm"}

=====

{"formula": "YErAu", "functional": "PBE", "state": "optimized geometry", "lattice_angstrom": [[7.0202, 0.0000, 0.0000], [0.0000, 4.9435, 0.0000], [0.0000, 0.0000, 8.9141]], "species": ["Y", "Y", "Y", "Y", "Er", "Er", "Er", "Er", "Au", "Au", "Au", "Au"], "frac_coords": [[0.1502, 0.2500, 0.0816], [0.3498, 0.7500, 0.5816], [0.6502, 0.2500, 0.4184], [0.8498, 0.7500, 0.9184], [0.0130, 0.2500, 0.6767], [0.4870, 0.7500, 0.1767], [0.5130, 0.2500, 0.8233], [0.9870, 0.7500, 0.3233], [0.2368, 0.2500, 0.4017], [0.2632, 0.7500, 0.9017], [0.7368, 0.2500, 0.0983], [0.7632, 0.7500, 0.5983]], "space_group": "Pnma", "de_polymorph_ev_per_fu": 0.06, "formation_energy_ev_per_fu": -1.9}

=====

| no. | VASP energy (eV/atom) |
| --- | --- |
| 1 | -4.27 |
| 2 | -1.49 |
| 3 | -5.21 |
| 4 | -9.43 |
| 5 | -3.77 |
| 6 | -7.23 |
| 7 | -4.84 |
| 8 | -5.51 |
| 9 | -5.18 |
| 10 | -7.36 |
| 11 | -6.41 |
| 12 | -5.41 |